Entry from Alexandria: crystalline ScZnIrRh at its relaxed geometry (PBE).

Cell lengths 4.4251, 4.4251, 4.4251 Å; angles 60.00, 60.00, 60.00 degrees
With the nearest neighbours (Å) after each atom.
Fractional coordinates of all 4 atoms:
Sc 0.0000 0.0000 0.0000  4 Ir 2.71, 4 Rh 2.71
Zn 0.5000 0.5000 0.5000  4 Ir 2.71, 4 Rh 2.71
Ir 0.7500 0.7500 0.7500  4 Zn 2.71, 4 Sc 2.71
Rh 0.2500 0.2500 0.2500  4 Zn 2.71, 4 Sc 2.71

As for the density of states at the Fermi level: 2.35 states/eV per cell. Its crystal system is cubic. As for the formation energy: -0.681 eV per atom. The total magnetization comes out at 0.000 μB/f.u. For the raw total energy, the calculation gives -6.635 eV/atom. As for the space group: F-43m.